[1]
CsCeI4 | PBE | optimized geometry

Output
energy = -42.78 eV per cell
total moment = 1.000 μB/f.u.
crystal system = monoclinic
uncorrected formation energy = -8.40 eV per formula unit

a = 9.681 Å, b = 9.681 Å, c = 7.691 Å
α = 105.58°, β = 105.58°, γ = 111.29°
Fractional positions:
Cs: 0.136 0.864 0.750
Cs: 0.864 0.136 0.250
Ce: 0.499 0.501 0.750
Ce: 0.501 0.499 0.250
I: 0.176 0.303 0.824
I: 0.243 0.554 0.430
I: 0.303 0.176 0.324
I: 0.446 0.757 0.070
I: 0.554 0.243 0.930
I: 0.697 0.824 0.676
I: 0.757 0.446 0.570
I: 0.824 0.697 0.176



[2]
Cs2Ce2I7 | PBE | optimized geometry

Output
energy = -38.98 eV per cell
total moment = 3.003 μB/f.u.
crystal system = monoclinic
uncorrected formation energy = -14.56 eV per formula unit
polymorph energy (0 for the lowest one) = 0.23 eV per formula unit

a = 10.005 Å, b = 10.005 Å, c = 9.029 Å
α = 95.45°, β = 95.45°, γ = 119.77°
Fractional positions:
Cs: 0.187 0.813 0.000
Cs: 0.813 0.187 0.000
Ce: 0.217 0.217 0.610
Ce: 0.783 0.783 0.390
I: 0.067 0.067 0.268
I: 0.123 0.438 0.770
I: 0.438 0.123 0.770
I: 0.500 0.500 0.500
I: 0.562 0.877 0.230
I: 0.877 0.562 0.230
I: 0.933 0.933 0.732



[3]
Cs4CeI6 | PBE | optimized geometry

Output
energy = -68.19 eV per cell
total moment = 2.000 μB/f.u.
crystal system = tetragonal
uncorrected formation energy = -15.45 eV per formula unit

a = 10.512 Å, b = 10.512 Å, c = 10.968 Å
α = 90.00°, β = 90.00°, γ = 90.00°
Fractional positions:
Cs: 0.169 0.331 0.250
Cs: 0.169 0.331 0.750
Cs: 0.331 0.831 0.250
Cs: 0.331 0.831 0.750
Cs: 0.669 0.169 0.250
Cs: 0.669 0.169 0.750
Cs: 0.831 0.669 0.250
Cs: 0.831 0.669 0.750
Ce: 0.000 0.000 0.000
Ce: 0.500 0.500 0.500
I: 0.000 0.000 0.294
I: 0.000 0.000 0.706
I: 0.098 0.700 0.000
I: 0.200 0.598 0.500
I: 0.300 0.098 0.000
I: 0.402 0.200 0.500
I: 0.500 0.500 0.206
I: 0.500 0.500 0.794
I: 0.598 0.800 0.500
I: 0.700 0.902 0.000
I: 0.800 0.402 0.500
I: 0.902 0.300 0.000



[4]
Cs5Ce2I12 | PBE | optimized geometry

Output
energy = -60.84 eV per cell
total moment = 1.022 μB/f.u.
crystal system = monoclinic
uncorrected formation energy = -26.10 eV per formula unit

a = 10.966 Å, b = 10.966 Å, c = 9.564 Å
α = 100.49°, β = 100.49°, γ = 64.28°
Fractional positions:
Cs: 0.000 0.000 0.000
Cs: 0.251 0.251 0.503
Cs: 0.369 0.369 0.987
Cs: 0.631 0.631 0.013
Cs: 0.749 0.749 0.497
Ce: 0.247 0.753 0.500
Ce: 0.753 0.247 0.500
I: 0.075 0.075 0.655
I: 0.099 0.695 0.719
I: 0.149 0.550 0.284
I: 0.305 0.901 0.281
I: 0.450 0.851 0.716
I: 0.465 0.465 0.664
I: 0.535 0.535 0.336
I: 0.550 0.149 0.284
I: 0.695 0.099 0.719
I: 0.851 0.450 0.716
I: 0.901 0.305 0.281
I: 0.925 0.925 0.345



[5]
CsCeI2 | PBE | optimized geometry

Output
energy = -41.73 eV per cell
total moment = 1.667 μB/f.u.
crystal system = trigonal
uncorrected formation energy = -4.02 eV per formula unit
polymorph energy (0 for the lowest one) = 0.00 eV per formula unit

a = 4.333 Å, b = 4.333 Å, c = 29.932 Å
α = 90.00°, β = 90.00°, γ = 120.00°
Fractional positions:
Cs: 0.000 0.000 0.000
Cs: 0.333 0.667 0.667
Cs: 0.667 0.333 0.333
Ce: 0.000 0.000 0.500
Ce: 0.333 0.667 0.167
Ce: 0.667 0.333 0.833
I: 0.000 0.000 0.238
I: 0.000 0.000 0.762
I: 0.333 0.667 0.429
I: 0.333 0.667 0.904
I: 0.667 0.333 0.096
I: 0.667 0.333 0.571



[6]
Cs2Ce3I8 | PBE | optimized geometry

Output
energy = -48.85 eV per cell
total moment = 6.039 μB/f.u.
crystal system = monoclinic
uncorrected formation energy = -16.94 eV per formula unit

a = 10.760 Å, b = 10.760 Å, c = 7.649 Å
α = 101.45°, β = 101.45°, γ = 49.21°
Fractional positions:
Cs: 0.244 0.244 0.179
Cs: 0.756 0.756 0.821
Ce: 0.281 0.719 0.500
Ce: 0.500 0.500 0.000
Ce: 0.719 0.281 0.500
I: 0.093 0.093 0.408
I: 0.150 0.646 0.108
I: 0.354 0.850 0.892
I: 0.385 0.385 0.618
I: 0.615 0.615 0.382
I: 0.646 0.150 0.108
I: 0.850 0.354 0.892
I: 0.907 0.907 0.592



[7]
Cs2Ce2I7 | PBE | optimized geometry

Output
energy = -39.22 eV per cell
total moment = 3.006 μB/f.u.
crystal system = orthorhombic
uncorrected formation energy = -14.79 eV per formula unit
polymorph energy (0 for the lowest one) = 0.00 eV per formula unit

a = 8.021 Å, b = 8.021 Å, c = 8.810 Å
α = 90.00°, β = 90.00°, γ = 100.00°
Fractional positions:
Cs: 0.223 0.223 0.000
Cs: 0.777 0.777 0.000
Ce: 0.281 0.719 0.500
Ce: 0.719 0.281 0.500
I: 0.000 0.000 0.500
I: 0.000 0.500 0.266
I: 0.000 0.500 0.734
I: 0.500 0.000 0.266
I: 0.500 0.000 0.734
I: 0.500 0.500 0.281
I: 0.500 0.500 0.719



[8]
Cs4CeI7 | PBE | optimized geometry

Output
energy = -37.92 eV per cell
total moment = 1.000 μB/f.u.
crystal system = monoclinic
uncorrected formation energy = -17.72 eV per formula unit

a = 10.256 Å, b = 10.256 Å, c = 12.953 Å
α = 104.61°, β = 104.61°, γ = 35.79°
Fractional positions:
Cs: 0.013 0.013 0.205
Cs: 0.252 0.252 0.823
Cs: 0.748 0.748 0.177
Cs: 0.987 0.987 0.795
Ce: 0.500 0.500 0.500
I: 0.000 0.000 0.500
I: 0.147 0.147 0.040
I: 0.385 0.385 0.629
I: 0.386 0.386 0.278
I: 0.614 0.614 0.722
I: 0.615 0.615 0.371
I: 0.853 0.853 0.960